1.
Here is an optimized crystal structure of Pr3Nd3Tl from Alexandria via LeMat-Bulk. Energies are from PBE.

Results
calculated formation energy	0.086	eV/atom
energy above the lowest structure with this stoichiometry	154	meV/atom
crystal system	trigonal

Lattice parameters (Å, degrees): 8.675 8.675 8.965 61.07 61.07 60.00
Element x y z (fractional)
Pr: 0.298 0.796 0.834
Pr: 0.796 0.073 0.834
Pr: 0.073 0.298 0.834
Pr: 0.927 0.702 0.166
Pr: 0.204 0.927 0.166
Pr: 0.702 0.204 0.166
Nd: 0.279 0.443 0.353
Nd: 0.925 0.279 0.353
Nd: 0.443 0.925 0.353
Nd: 0.557 0.075 0.647
Nd: 0.075 0.721 0.647
Nd: 0.721 0.557 0.647
Tl: 0.664 0.664 0.007
Tl: 0.336 0.336 0.993

***

2.
Here is an optimized crystal structure of LaMgSn6 from Alexandria via LeMat-Bulk. Energies are from PBE.

Results
calculated formation energy	-0.280	eV/atom
energy above the lowest structure with this stoichiometry	28	meV/atom
crystal system	tetragonal

Lattice parameters (Å, degrees): 4.715 4.715 9.693 90.00 90.00 90.00
Element x y z (fractional)
La: 0.000 0.000 0.000
Mg: 0.000 0.000 0.500
Sn: 0.500 0.500 0.000
Sn: 0.500 0.500 0.500
Sn: 0.500 0.000 0.261
Sn: 0.500 0.000 0.739
Sn: 0.000 0.500 0.261
Sn: 0.000 0.500 0.739

***

3.
Here is an optimized crystal structure of MnBeCr2 from Alexandria via LeMat-Bulk. Energies are from PBE.

Results
calculated formation energy	0.590	eV/atom
crystal system	tetragonal

Lattice parameters (Å, degrees): 6.229 6.229 4.996 51.43 51.43 90.00
Element x y z (fractional)
Cr: 0.647 0.125 0.250
Cr: 0.103 0.625 0.250
Cr: 0.375 0.353 0.750
Cr: 0.875 0.897 0.750
Mn: 0.000 0.000 0.000
Mn: 0.750 0.250 0.500
Be: 0.500 0.500 0.000
Be: 0.250 0.750 0.500

***

4.
Here is an optimized crystal structure of SrZn4NiPt2 from Alexandria via LeMat-Bulk. Energies are from PBE.

Results
calculated formation energy	-0.445	eV/atom
crystal system	trigonal

Lattice parameters (Å, degrees): 4.296 4.296 9.214 76.52 76.52 60.00
Element x y z (fractional)
Sr: 0.000 0.000 0.000
Zn: 0.409 0.409 0.772
Zn: 0.865 0.865 0.405
Zn: 0.135 0.135 0.595
Zn: 0.591 0.591 0.228
Ni: 0.500 0.500 0.500
Pt: 0.765 0.765 0.705
Pt: 0.235 0.235 0.295

***

5.
Here is an optimized crystal structure of TlCdGaO4 from Alexandria via LeMat-Bulk. Energies are from PBE.

Results
E_form (uncorrected)	-1.127	eV per atom
crystal system	orthorhombic

Lattice parameters (Å, degrees): 6.358 6.466 6.466 61.37 60.55 60.55
Element x y z (fractional)
Tl: 0.000 0.000 0.000
Tl: 0.000 0.500 0.500
Cd: 0.500 0.000 0.500
Cd: 0.000 0.000 0.500
Ga: 0.633 0.617 0.117
Ga: 0.367 0.383 0.883
O: 0.749 0.742 0.761
O: 0.251 0.739 0.758
O: 0.749 0.261 0.242
O: 0.251 0.258 0.239
O: 0.264 0.743 0.243
O: 0.749 0.743 0.243
O: 0.251 0.257 0.757
O: 0.736 0.257 0.757

***

6.
Here is an optimized crystal structure of Sr2ZrRu from Alexandria via LeMat-Bulk. Energies are from PBE.

Results
calculated formation energy	0.051	eV/atom
energy above the lowest structure with this stoichiometry	0	meV/atom
crystal system	tetragonal

Lattice parameters (Å, degrees): 3.528 3.530 10.444 70.23 90.00 90.00
Element x y z (fractional)
Ru: 0.500 0.803 0.697
Sr: 0.000 0.076 0.923
Sr: 0.500 0.205 0.296
Zr: 0.000 0.416 0.584

***

7.
Here is an optimized crystal structure of TaFeRu from Alexandria via LeMat-Bulk. Energies are from PBE.

Results
calculated formation energy	0.091	eV/atom
energy above the lowest structure with this stoichiometry	234	meV/atom
crystal system	orthorhombic

Lattice parameters (Å, degrees): 6.628 6.454 2.734 81.54 74.39 24.07
Element x y z (fractional)
Fe: 0.997 0.997 0.003
Ru: 0.339 0.339 0.661
Ta: 0.665 0.665 0.335

***

8.
Here is an optimized crystal structure of Nd8HgAu2 from Alexandria via LeMat-Bulk. Energies are from PBE.

Results
calculated formation energy	-0.256	eV/atom
energy above the lowest structure with this stoichiometry	96	meV/atom
crystal system	orthorhombic

Lattice parameters (Å, degrees): 5.110 8.466 9.110 117.69 106.29 90.00
Element x y z (fractional)
Nd: 0.666 0.886 0.331
Nd: 0.334 0.555 0.669
Nd: 0.133 0.133 0.266
Nd: 0.000 0.319 0.000
Nd: 0.867 0.867 0.734
Nd: 0.666 0.445 0.331
Nd: 0.334 0.114 0.669
Nd: 0.000 0.681 0.000
Hg: 0.500 0.000 0.000
Au: 0.196 0.696 0.393
Au: 0.804 0.304 0.607

***

9.
Here is an optimized crystal structure of BI4 from Alexandria via LeMat-Bulk. Energies are from PBE.

Results
E_form (uncorrected)	0.764	eV per atom
energy above the lowest structure with this stoichiometry	668	meV/atom
crystal system	cubic

Lattice parameters (Å, degrees): 5.245 5.245 5.245 90.00 90.00 90.00
Element x y z (fractional)
I: 0.000 0.000 0.000
I: 0.500 0.000 0.500
I: 0.000 0.500 0.500
I: 0.500 0.500 0.000
B: 0.500 0.500 0.500

***

10.
Here is an optimized crystal structure of La3SmPd3 from Alexandria via LeMat-Bulk. Energies are from PBE.

Results
calculated formation energy	-0.629	eV/atom
crystal system	monoclinic

Lattice parameters (Å, degrees): 7.232 7.232 7.417 90.97 90.97 97.46
Element x y z (fractional)
La: 0.654 0.654 0.378
La: 0.179 0.821 0.500
La: 0.821 0.179 0.500
La: 0.252 0.748 0.000
La: 0.748 0.252 0.000
La: 0.346 0.346 0.622
Sm: 0.745 0.745 0.876
Sm: 0.255 0.255 0.124
Pd: 0.937 0.937 0.191
Pd: 0.988 0.491 0.731
Pd: 0.491 0.988 0.731
Pd: 0.012 0.509 0.269
Pd: 0.509 0.012 0.269
Pd: 0.063 0.063 0.809

***

11.
Here is an optimized crystal structure of NaMnW2C from Alexandria via LeMat-Bulk. Energies are from PBE.

Results
calculated formation energy	3.559	eV/atom
crystal system	tetragonal

Lattice parameters (Å, degrees): 4.597 3.724 4.597 90.00 90.00 90.00
Element x y z (fractional)
Na: 0.000 0.000 0.000
C: 0.000 0.500 0.000
Mn: 0.500 0.500 0.500
W: 0.000 0.000 0.500
W: 0.500 0.000 0.000

***

12.
Here is an optimized crystal structure of Ta2TePb2 from Alexandria via LeMat-Bulk. Energies are from PBE.

Results
E_form (uncorrected)	0.518	eV per atom
energy above the lowest structure with this stoichiometry	0	meV/atom
crystal system	tetragonal

Lattice parameters (Å, degrees): 7.577 7.577 4.173 90.00 90.00 90.00
Element x y z (fractional)
Pb: 0.162 0.662 0.500
Pb: 0.662 0.838 0.500
Pb: 0.838 0.338 0.500
Pb: 0.338 0.162 0.500
Te: 0.000 0.000 0.000
Te: 0.500 0.500 0.000
Ta: 0.373 0.873 0.000
Ta: 0.873 0.627 0.000
Ta: 0.627 0.127 0.000
Ta: 0.127 0.373 0.000

***

For reference, DFT total energy by record: -60.81 -32.78 -59.56 -28.20 -68.06 -20.98 -29.32 -47.81 -9.06 -78.97 -27.83 -63.34 eV/cell.